Version one
Here is an optimized crystal structure of Er7Te2Au2 from the Alexandria database. Energies are from GGA-PBE.

Lattice parameters (Å, degrees): 9.3490 9.3490 9.3490 155.15 68.27 117.57
Last column: nearest neighbours and their distance in Å.
Fractional coordinates of all 11 atoms:
Er1 0.0000 0.0000 0.0000  3 Te 3.23-3.30
Er2 0.2857 0.4133 0.8724  2 Au 2.91, 3 Te 3.10-3.18
Er3 0.3056 0.6221 0.6835  3 Au 2.90-3.18, 1 Te 3.14
Er4 0.5409 0.4133 0.1276  2 Au 2.91, 3 Te 3.10-3.18
Er5 0.6208 0.2611 0.3597  2 Au 2.96, 2 Te 3.12
Er6 0.9014 0.2611 0.6403  2 Au 2.96, 2 Te 3.12
Er7 0.9387 0.6221 0.3165  3 Au 2.90-3.18, 1 Te 3.14
Te1 0.2612 0.7612 0.5000  8 Er 3.14-3.23
Te2 0.6595 0.6595 0.0000  7 Er 3.10-3.30
Au1 0.1602 0.9239 0.2363  7 Er 2.90-3.18
Au2 0.6876 0.9239 0.7637  7 Er 2.90-3.18

The total magnetization is 0.0 μB/cell. The density of states at the Fermi level comes out at 9.7 states/eV per cell.

---

Version two
Here is an optimized crystal structure of Er7Te2Au2 from the Alexandria database. Energies are from GGA-PBE.

Lattice parameters (Å, degrees): 6.6171 6.6171 7.5855 90.00 90.00 106.07
Last column: nearest neighbours and their distance in Å.
Fractional coordinates of all 11 atoms:
Er1 0.0000 0.0000 0.0000  2 Te 3.01
Er2 0.0000 0.5000 0.2880  2 Te 2.98, 2 Au 3.12, 3 Er 3.22-3.31
Er3 0.0000 0.5000 0.7120  2 Te 2.98, 2 Au 3.12, 3 Er 3.22-3.31
Er4 0.5000 0.0000 0.2880  2 Te 2.98, 2 Au 3.12, 3 Er 3.22-3.31
Er5 0.5000 0.0000 0.7120  2 Te 2.98, 2 Au 3.12, 3 Er 3.22-3.31
Er6 0.5000 0.5000 0.2780  2 Au 2.93, 2 Te 3.11
Er7 0.5000 0.5000 0.7220  2 Au 2.93, 2 Te 3.11
Te1 0.2843 0.7157 0.0000  7 Er 2.98-3.11
Te2 0.7157 0.2843 0.0000  7 Er 2.98-3.11
Au1 0.1993 0.1993 0.5000  6 Er 2.93-3.12, 1 Au 3.17
Au2 0.8007 0.8007 0.5000  6 Er 2.93-3.12, 1 Au 3.17

The total magnetization is 0.0 μB/cell. The density of states at the Fermi level comes out at 11.9 states/eV per cell.

---

What are the relative energies? In meV per atom: version one 0; version two 401.

---

Version one
Here is an optimized crystal structure of ErThAu from the Alexandria database. Energies are from GGA-PBE.

Lattice parameters (Å, degrees): 3.5762 3.5762 12.6184 90.00 90.00 90.00
Last column: nearest neighbours and their distance in Å.
Fractional coordinates of all 6 atoms:
Er1 0.0000 0.0000 0.0000  4 Au 3.03
Er2 0.5000 0.5000 0.5000  4 Au 3.03
Th1 0.0000 0.0000 0.6986  4 Au 3.31, 4 Er 3.56, 4 Th 3.58
Th2 0.5000 0.5000 0.1986  4 Au 3.31, 4 Er 3.56, 4 Th 3.58
Au1 0.0000 0.0000 0.3675  4 Er 3.03, 4 Th 3.31
Au2 0.5000 0.5000 0.8675  4 Er 3.03, 4 Th 3.31

The total magnetization is 0.0 μB/cell. The density of states at the Fermi level comes out at 9.7 states/eV per cell.

---

Version two
Here is an optimized crystal structure of ErThAu from the Alexandria database. Energies are from GGA-PBE.

Lattice parameters (Å, degrees): 7.1149 7.1149 7.1149 90.00 90.00 90.00
Last column: nearest neighbours and their distance in Å.
Fractional coordinates of all 12 atoms:
Er1 0.0000 0.0000 0.0000  4 Au 3.08
Er2 0.0000 0.5000 0.5000  4 Au 3.08
Er3 0.5000 0.0000 0.5000  4 Au 3.08
Er4 0.5000 0.5000 0.0000  4 Au 3.08
Th1 0.0000 0.0000 0.5000  4 Au 3.08
Th2 0.0000 0.5000 0.0000  4 Au 3.08
Th3 0.5000 0.0000 0.0000  4 Au 3.08
Th4 0.5000 0.5000 0.5000  4 Au 3.08
Au1 0.2500 0.2500 0.2500  4 Th 3.08, 4 Er 3.08
Au2 0.2500 0.7500 0.7500  4 Th 3.08, 4 Er 3.08
Au3 0.7500 0.2500 0.7500  4 Th 3.08, 4 Er 3.08
Au4 0.7500 0.7500 0.2500  4 Th 3.08, 4 Er 3.08

The total magnetization is 0.0 μB/cell. The density of states at the Fermi level comes out at 19.8 states/eV per cell.

---

What are the relative energies? In meV per atom: version one 0; version two 212.

---

Version one
Here is an optimized crystal structure of ErThAu2 from the Alexandria database. Energies are from GGA-PBE.

Lattice parameters (Å, degrees): 3.5374 3.5374 7.6822 90.00 90.00 90.00
Last column: nearest neighbours and their distance in Å.
Fractional coordinates of all 4 atoms:
Er1 0.0000 0.0000 0.0000  8 Au 3.04
Th1 0.0000 0.0000 0.5000  8 Au 3.27, 4 Th 3.54
Au1 0.5000 0.5000 0.2249  4 Er 3.04, 4 Th 3.27
Au2 0.5000 0.5000 0.7751  4 Er 3.04, 4 Th 3.27

The total magnetization is 0.0 μB/cell. The density of states at the Fermi level comes out at 3.3 states/eV per cell.

---

Version two
Here is an optimized crystal structure of ErThAu2 from the Alexandria database. Energies are from GGA-PBE.

Lattice parameters (Å, degrees): 7.3176 7.3176 7.3176 90.00 90.00 90.00
Last column: nearest neighbours and their distance in Å.
Fractional coordinates of all 16 atoms:
Er1 0.0000 0.0000 0.0000  8 Au 3.17
Er2 0.0000 0.5000 0.5000  8 Au 3.17
Er3 0.5000 0.0000 0.5000  8 Au 3.17
Er4 0.5000 0.5000 0.0000  8 Au 3.17
Th1 0.0000 0.0000 0.5000  8 Au 3.17
Th2 0.0000 0.5000 0.0000  8 Au 3.17
Th3 0.5000 0.0000 0.0000  8 Au 3.17
Th4 0.5000 0.5000 0.5000  8 Au 3.17
Au1 0.2500 0.2500 0.2500  4 Th 3.17, 4 Er 3.17
Au2 0.2500 0.2500 0.7500  4 Th 3.17, 4 Er 3.17
Au3 0.2500 0.7500 0.2500  4 Th 3.17, 4 Er 3.17
Au4 0.2500 0.7500 0.7500  4 Th 3.17, 4 Er 3.17
Au5 0.7500 0.2500 0.2500  4 Th 3.17, 4 Er 3.17
Au6 0.7500 0.2500 0.7500  4 Th 3.17, 4 Er 3.17
Au7 0.7500 0.7500 0.2500  4 Th 3.17, 4 Er 3.17
Au8 0.7500 0.7500 0.7500  4 Th 3.17, 4 Er 3.17

The total magnetization is 0.0 μB/cell. The density of states at the Fermi level comes out at 17.5 states/eV per cell.

---

What are the relative energies? In meV per atom: version one 0; version two 32.

---

Version one
Here is an optimized crystal structure of Er12TlAu6 from the Alexandria database. Energies are from GGA-PBE.

Lattice parameters (Å, degrees): 8.5098 8.5098 8.5098 101.57 101.57 101.57
Last column: nearest neighbours and their distance in Å.
Fractional coordinates of all 19 atoms:
Er1 0.0637 0.9183 0.3296  2 Au 2.82-2.84, 1 Tl 2.99
Er2 0.0817 0.6704 0.9363  2 Au 2.82-2.84, 1 Tl 2.99
Er3 0.1775 0.4272 0.5706  4 Au 2.92-3.07
Er4 0.3296 0.0637 0.9183  2 Au 2.82-2.84, 1 Tl 2.99
Er5 0.4272 0.5706 0.1775  4 Au 2.92-3.07
Er6 0.4294 0.8225 0.5728  4 Au 2.92-3.07
Er7 0.5706 0.1775 0.4272  4 Au 2.92-3.07
Er8 0.5728 0.4294 0.8225  4 Au 2.92-3.07
Er9 0.6704 0.9363 0.0817  2 Au 2.82-2.84, 1 Tl 2.99
Er10 0.8225 0.5728 0.4294  4 Au 2.92-3.07
Er11 0.9183 0.3296 0.0637  2 Au 2.82-2.84, 1 Tl 2.99
Er12 0.9363 0.0817 0.6704  2 Au 2.82-2.84, 1 Tl 2.99
Tl1 0.0000 0.0000 0.0000  6 Er 2.99
Au1 0.1394 0.6077 0.3058  6 Er 2.82-3.07
Au2 0.3058 0.1394 0.6077  6 Er 2.82-3.07
Au3 0.3923 0.6942 0.8606  6 Er 2.82-3.07
Au4 0.6077 0.3058 0.1394  6 Er 2.82-3.07
Au5 0.6942 0.8606 0.3923  6 Er 2.82-3.07
Au6 0.8606 0.3923 0.6942  6 Er 2.82-3.07

The total magnetization is 0.0 μB/cell. The density of states at the Fermi level comes out at 19.6 states/eV per cell.

---

Version two
Here is an optimized crystal structure of Er12TlAu6 from the Alexandria database. Energies are from GGA-PBE.

Lattice parameters (Å, degrees): 8.6852 8.6852 8.6852 109.47 109.47 109.47
Last column: nearest neighbours and their distance in Å.
Fractional coordinates of all 19 atoms:
Er1 0.1069 0.2909 0.8159  1 Au 2.75
Er2 0.1841 0.4750 0.2909  1 Au 2.75
Er3 0.1841 0.8931 0.7091  1 Au 2.75
Er4 0.2909 0.1841 0.4750  1 Au 2.75
Er5 0.2909 0.8159 0.1069  1 Au 2.75
Er6 0.4750 0.2909 0.1841  1 Au 2.75
Er7 0.5250 0.7091 0.8159  1 Au 2.75
Er8 0.7091 0.1841 0.8931  1 Au 2.75
Er9 0.7091 0.8159 0.5250  1 Au 2.75
Er10 0.8159 0.1069 0.2909  1 Au 2.75
Er11 0.8159 0.5250 0.7091  1 Au 2.75
Er12 0.8931 0.7091 0.1841  1 Au 2.75
Tl1 0.0000 0.0000 0.0000  12 Er 3.45
Au1 0.1388 0.5000 0.6388  2 Er 2.75, 1 Au 2.78
Au2 0.3612 0.8612 0.5000  2 Er 2.75, 1 Au 2.78
Au3 0.5000 0.3612 0.8612  2 Er 2.75, 1 Au 2.78
Au4 0.5000 0.6388 0.1388  2 Er 2.75, 1 Au 2.78
Au5 0.6388 0.1388 0.5000  2 Er 2.75, 1 Au 2.78
Au6 0.8612 0.5000 0.3612  2 Er 2.75, 1 Au 2.78

The total magnetization is 0.0 μB/cell. The density of states at the Fermi level comes out at 8.2 states/eV per cell.

---

What are the relative energies? In meV per atom: version one 161; version two 0.